Record 1
Computed, not measured: Cs4OF after structural relaxation at the GGA-PBE level of DFT. Values from VASP.

Output
Formation energy (no corrections) ... -1.393 eV/atom

Quantum ESPRESSO input file:
```
&SYSTEM
  ibrav = 0, nat = 6, ntyp = 3
/
ATOMIC_SPECIES
Cs 132.91 Cs.upf
O 16.00 O.upf
F 19.00 F.upf
CELL_PARAMETERS angstrom
9.291 -2.195 0.000
9.291 2.195 0.000
-2.846 0.000 7.042
ATOMIC_POSITIONS crystal
Cs 0.090 0.090 0.269
Cs 0.406 0.406 0.259
Cs 0.594 0.594 0.741
Cs 0.910 0.910 0.731
O 0.000 0.000 0.500
F 0.500 0.500 0.000
```

Record 2
Computed, not measured: PmIn2Hg5 after structural relaxation at the GGA-PBE level of DFT. Values from VASP.

Output
Energy above the lowest structure with this stoichiometry ... 0.688 eV per formula unit
Formation energy from the elements ... -94 kJ/mol of formula units

Quantum ESPRESSO input file:
```
&SYSTEM
  ibrav = 0, nat = 16, ntyp = 3
/
ATOMIC_SPECIES
Pm 145.00 Pm.upf
In 114.82 In.upf
Hg 200.59 Hg.upf
CELL_PARAMETERS angstrom
-4.001 4.001 6.635
4.001 -4.001 6.635
4.001 4.001 -6.635
ATOMIC_POSITIONS crystal
Pm 0.250 0.250 0.000
Pm 0.750 0.750 0.000
In 0.149 0.649 0.799
In 0.351 0.149 0.500
In 0.649 0.851 0.500
In 0.851 0.351 0.201
Hg 0.000 0.000 0.000
Hg 0.015 0.810 0.500
Hg 0.190 0.690 0.206
Hg 0.310 0.515 0.500
Hg 0.485 0.985 0.794
Hg 0.500 0.500 0.000
Hg 0.515 0.015 0.206
Hg 0.690 0.485 0.500
Hg 0.810 0.310 0.794
Hg 0.985 0.190 0.500
```

Number 1: spin magnetization 0.00 Bohr magnetons per cell. Number 2: spin magnetization 0.00 Bohr magnetons per cell.